(1)
{"formula": "PrTm3", "functional": "GGA-PBE", "state": "relaxed", "energy_ev_per_cell": -18.1, "formation_energy_mev_per_atom": 31, "total_magnetization_mub_per_cell": 0.000, "lattice_angstrom": [[5.014, 0.000, 0.000], [0.000, 5.014, 0.000], [0.000, 0.000, 5.014]], "species": ["Pr", "Tm", "Tm", "Tm"], "fractional_positions": [[0.000, 0.000, 0.000], [0.000, 0.500, 0.500], [0.500, 0.000, 0.500], [0.500, 0.500, 0.000]]}

(2)
{"formula": "CuHI3", "functional": "GGA-PBE", "state": "relaxed", "energy_ev_per_cell": -24.3, "total_magnetization_mub_per_cell": 0.000, "lattice_angstrom": [[4.041, 0.098, -0.517], [-1.804, 8.302, -1.421], [-1.612, -1.378, 11.280]], "species": ["I", "H", "I", "I", "H", "I", "I", "Cu", "Cu", "I"], "fractional_positions": [[0.203, 0.132, 0.774], [0.410, 0.781, 0.036], [0.943, 0.321, 0.104], [0.797, 0.868, 0.226], [0.590, 0.219, 0.964], [0.606, 0.306, 0.423], [0.394, 0.694, 0.577], [0.957, 0.177, 0.286], [0.043, 0.823, 0.714], [0.057, 0.679, 0.896]]}

(3)
{"formula": "Pm4TmTl4", "functional": "GGA-PBE", "state": "relaxed", "energy_ev_per_cell": -69.3, "formation_energy_mev_per_atom": -193, "total_magnetization_mub_per_cell": 0.000, "lattice_angstrom": [[-1.218, -1.279, -5.952], [-1.286, -8.980, 2.192], [-9.061, 1.663, 1.497]], "species": ["Pm", "Pm", "Pm", "Tl", "Pm", "Tl", "Tl", "Tm", "Tm", "Tl", "Tl", "Tl", "Pm", "Tl", "Pm", "Tl", "Pm", "Pm"], "fractional_positions": [[0.869, 0.669, 0.926], [0.131, 0.074, 0.669], [0.869, 0.331, 0.074], [0.877, 0.599, 0.296], [0.631, 0.831, 0.574], [0.123, 0.704, 0.599], [0.877, 0.401, 0.704], [0.000, 0.000, 0.000], [0.500, 0.500, 0.500], [0.123, 0.296, 0.401], [0.623, 0.901, 0.204], [0.377, 0.796, 0.901], [0.631, 0.169, 0.426], [0.377, 0.204, 0.099], [0.369, 0.426, 0.831], [0.623, 0.099, 0.796], [0.131, 0.926, 0.331], [0.369, 0.574, 0.169]]}

(4)
{"formula": "ErTaV4", "functional": "GGA-PBE", "state": "relaxed", "energy_ev_per_cell": -51.7, "formation_energy_mev_per_atom": 203, "total_magnetization_mub_per_cell": 0.000, "lattice_angstrom": [[-1.454, -2.526, -4.281], [1.506, -4.898, -0.754], [-3.453, -3.848, 0.310]], "species": ["V", "V", "V", "Ta", "V", "Er"], "fractional_positions": [[0.625, 0.125, 0.625], [0.625, 0.625, 0.125], [0.125, 0.625, 0.625], [0.250, 0.250, 0.250], [0.625, 0.625, 0.625], [0.000, 0.000, 0.000]]}

(5)
{"formula": "AlZn", "functional": "GGA-PBE", "state": "relaxed", "energy_ev_per_cell": -14.9, "formation_energy_mev_per_atom": 23, "total_magnetization_mub_per_cell": 0.000, "lattice_angstrom": [[4.919, -0.116, 0.595], [4.210, 2.548, 0.595], [2.616, 0.697, 7.712]], "species": ["Zn", "Al", "Zn", "Al", "Zn", "Al"], "fractional_positions": [[0.306, 0.306, 0.887], [0.639, 0.639, 0.226], [0.970, 0.970, 0.557], [0.639, 0.639, 0.718], [0.307, 0.307, 0.390], [0.972, 0.972, 0.056]]}

(6)
{"formula": "Rb3Ac2NpO6", "functional": "GGA-PBE", "state": "relaxed", "e_form_raw_mev_per_atom": -2382, "energy_ev_per_cell": -82.4, "total_magnetization_mub_per_cell": 3.922, "lattice_angstrom": [[-4.710, 3.254, -3.269], [4.718, -3.191, -3.319], [-3.774, -5.537, 2.119]], "species": ["O", "Ac", "Rb", "O", "Rb", "Rb", "O", "Ac", "O", "O", "Np", "O"], "fractional_positions": [[0.252, 0.252, 0.823], [0.667, 0.333, 0.000], [0.839, 0.161, 0.500], [0.633, 0.942, 0.825], [0.161, 0.839, 0.500], [0.500, 0.500, 0.500], [0.058, 0.367, 0.175], [0.333, 0.667, 0.000], [0.748, 0.748, 0.177], [0.942, 0.633, 0.825], [0.000, 0.000, 0.000], [0.367, 0.058, 0.175]]}

(7)
{"formula": "Cd4HgW", "functional": "GGA-PBE", "state": "relaxed", "energy_ev_per_cell": -12.2, "formation_energy_mev_per_atom": 787, "total_magnetization_mub_per_cell": 3.170, "lattice_angstrom": [[0.000, 4.024, 4.024], [4.024, 0.000, 4.024], [4.024, 4.024, 0.000]], "species": ["Hg", "Cd", "Cd", "Cd", "W", "Cd"], "fractional_positions": [[0.750, 0.750, 0.750], [0.375, 0.876, 0.375], [0.375, 0.375, 0.876], [0.876, 0.375, 0.375], [0.000, 0.000, 0.000], [0.375, 0.375, 0.375]]}

(8)
{"formula": "TbZrAgPd", "functional": "GGA-PBE", "state": "relaxed", "energy_ev_per_cell": -22.6, "formation_energy_mev_per_atom": -357, "total_magnetization_mub_per_cell": 0.000, "lattice_angstrom": [[-2.337, 4.211, 1.087], [-3.100, 2.017, -3.270], [-4.860, -0.027, 0.865]], "species": ["Tb", "Zr", "Ag", "Pd"], "fractional_positions": [[0.000, 0.000, 0.000], [0.500, 0.500, 0.500], [0.250, 0.250, 0.250], [0.750, 0.750, 0.750]]}

(9)
{"formula": "PmPuSN", "functional": "GGA-PBE", "state": "relaxed", "e_form_raw_mev_per_atom": -1599, "energy_ev_per_cell": -37.9, "total_magnetization_mub_per_cell": 5.254, "lattice_angstrom": [[-3.000, 0.674, -2.084], [-3.006, -2.159, 0.319], [-4.279, 3.344, 3.931]], "species": ["Pu", "Pm", "N", "S"], "fractional_positions": [[0.987, 0.987, 0.038], [0.511, 0.511, 0.466], [0.254, 0.254, 0.237], [0.747, 0.747, 0.759]]}

(10)
{"formula": "AlV3Fe2", "functional": "GGA-PBE", "state": "relaxed", "energy_ev_per_cell": -98.3, "formation_energy_mev_per_atom": -187, "total_magnetization_mub_per_cell": 0.000, "lattice_angstrom": [[-2.016, 2.387, -2.536], [2.360, -6.581, -4.876], [-4.615, 0.620, 4.251]], "species": ["V", "V", "V", "Al", "Fe", "Fe", "Al", "Fe", "V", "V", "V", "Fe"], "fractional_positions": [[0.614, 0.228, 0.659], [0.071, 0.142, 0.281], [0.691, 0.383, 0.404], [0.852, 0.703, 0.985], [0.772, 0.543, 0.201], [0.532, 0.063, 0.865], [0.148, 0.297, 0.015], [0.468, 0.937, 0.135], [0.309, 0.617, 0.596], [0.386, 0.772, 0.341], [0.929, 0.858, 0.719], [0.228, 0.457, 0.799]]}